No. 1
The following is a DFT calculation (PBE-GGA) of crystalline UH3 at its relaxed geometry.

Output
* energy: -21.855 eV/cell
* space-group type: No. 221

Cell: 3.2981 3.2981 3.2981 Å, 90.00 90.00 90.00°
With the nearest neighbours (Å) after each atom.
Positions (direct):
1 U 0.0000 0.0000 0.0000  12 H 2.33
2 H 0.0000 0.5000 0.5000  8 H 2.33, 4 U 2.33
3 H 0.5000 0.0000 0.5000  8 H 2.33, 4 U 2.33
4 H 0.5000 0.5000 0.0000  8 H 2.33, 4 U 2.33

=====

No. 2
The following is a DFT calculation (PBE-GGA) of crystalline UH2 at its relaxed geometry.

Output
* energy: -36.786 eV/cell
* space-group type: No. 12

Cell: 3.9034 3.9034 6.2871 Å, 118.79 118.79 45.76°
With the nearest neighbours (Å) after each atom.
Positions (direct):
1 U 0.0339 0.0339 0.2180  8 H 2.16-2.30
2 U 0.9661 0.9661 0.7820  8 H 2.16-2.30
3 H 0.1925 0.1925 0.6248  2 H 2.11, 4 U 2.19-2.30
4 H 0.2870 0.2870 0.1310  4 H 2.09-2.11, 4 U 2.16-2.20
5 H 0.7130 0.7130 0.8690  4 H 2.09-2.11, 4 U 2.16-2.20
6 H 0.8075 0.8075 0.3752  2 H 2.11, 4 U 2.19-2.30

=====

No. 3
The following is a DFT calculation (PBE-GGA) of crystalline U5H6 at its relaxed geometry.

Output
* energy: -74.525 eV/cell
* space-group type: No. 71

Cell: 6.7249 6.7249 6.7249 Å, 147.74 131.66 59.32°
With the nearest neighbours (Å) after each atom.
Positions (direct):
1 U 0.0000 0.0000 0.0000  8 H 2.17-2.35
2 U 0.1726 0.6726 0.5000  6 H 2.47-2.75, 6 U 2.63-2.75
3 U 0.3310 0.3310 0.0000  6 H 2.24-2.38
4 U 0.6690 0.6690 0.0000  6 H 2.24-2.38
5 U 0.8274 0.3274 0.5000  6 H 2.47-2.75, 6 U 2.63-2.75
6 H 0.2316 0.8998 0.3318  1 H 1.85
7 H 0.2589 0.5000 0.7589  4 H 2.24, 6 U 2.35-2.47
8 H 0.4320 0.1002 0.3318  1 H 1.85
9 H 0.5680 0.8998 0.6682  1 H 1.85
10 H 0.7411 0.5000 0.2411  4 H 2.24, 6 U 2.35-2.47
11 H 0.7684 0.1002 0.6682  1 H 1.85

=====

No. 4
The following is a DFT calculation (PBE-GGA) of crystalline UVH2 at its relaxed geometry.

Output
* energy: -27.475 eV/cell
* space-group type: No. 166
* energy relative to the lowest polymorph listed for this composition: 0.00 kJ/mol of atoms

Cell: 5.8642 5.8642 5.8642 Å, 28.23 28.23 28.23°
With the nearest neighbours (Å) after each atom.
Positions (direct):
1 U 0.0000 0.0000 0.0000  6 H 2.49
2 V 0.5000 0.5000 0.5000  6 H 1.91
3 H 0.2230 0.2230 0.2230  3 V 1.91
4 H 0.7770 0.7770 0.7770  3 V 1.91